Density functional theory data (PBE) for a relaxed MnCu2Si crystal.

Cell lengths 4.920, 8.923, 2.570 Å; angles 90.00, 119.63, 90.00 degrees
Fractional positions:
Mn 0.000 0.000 0.000
Mn 0.500 0.500 0.000
Cu 0.250 0.250 0.500
Cu 0.250 0.750 0.500
Cu 0.750 0.250 0.500
Cu 0.750 0.750 0.500
Si 0.000 0.500 0.000
Si 0.500 0.000 0.000

Space-group type: C2/m
Mass density (g/cm³): 7.11
Total DFT energy (no corrections) (eV/cell): -45.6
Total magnetic moment (μB/atom): 0.549
Formation energy (no corrections) (eV/atom): -0.01

Density functional theory data (PBE) for a relaxed MnCu2Si crystal.

Cell lengths 3.431, 3.431, 18.098 Å; angles 90.00, 90.00, 90.00 degrees
Fractional positions:
Mn 0.000 0.000 0.000
Mn 0.000 0.500 0.250
Mn 0.500 0.000 0.750
Mn 0.500 0.500 0.500
Cu 0.246 0.250 0.625
Cu 0.250 0.746 0.875
Cu 0.250 0.754 0.375
Cu 0.254 0.250 0.125
Cu 0.746 0.750 0.125
Cu 0.750 0.246 0.375
Cu 0.750 0.254 0.875
Cu 0.754 0.750 0.625
Si 0.000 0.000 0.500
Si 0.000 0.500 0.750
Si 0.500 0.000 0.250
Si 0.500 0.500 0.000

Space-group type: I-42d
Mass density (g/cm³): 6.55
Total DFT energy (no corrections) (eV/cell): -88.0
Total magnetic moment (μB/atom): 0.629
Formation energy (no corrections) (eV/atom): 0.20